{
  "formula": "Mg3Zn8Ir",
  "functional": "PBE-GGA",
  "state": "optimized geometry",
  "relative_energy_ev_per_atom": 0.002,
  "formation_energy_mev_per_atom": -133,
  "crystal_system": "trigonal",
  "n_ef_per_ev_cell": 4.67,
  "lattice": [[5.1116, 0.0000, 0.0000], [-2.5558, 4.4268, 0.0000], [0.0000, 0.0000, 8.2412]],
  "species": ["Mg", "Mg", "Mg", "Zn", "Zn", "Zn", "Zn", "Zn", "Zn", "Zn", "Zn", "Ir"],
  "fractional_positions": [[0.0000, 0.0000, 0.0000], [0.0000, 0.0000, 0.3883], [0.3333, 0.6667, 0.8518], [0.0100, 0.5050, 0.1931], [0.3260, 0.1630, 0.6809], [0.4950, 0.5050, 0.1931], [0.4950, 0.9900, 0.1931], [0.6667, 0.3333, 0.4382], [0.6667, 0.3333, 0.9401], [0.8370, 0.1630, 0.6809], [0.8370, 0.6740, 0.6809], [0.3333, 0.6667, 0.4944]]
}

{
  "formula": "NaBe2Tl",
  "functional": "PBE-GGA",
  "state": "optimized geometry",
  "relative_energy_ev_per_atom": 0.046,
  "formation_energy_mev_per_atom": 655,
  "crystal_system": "cubic",
  "n_ef_per_ev_cell": 0.69,
  "lattice": [[0.0000, 3.1760, 3.1760], [3.1760, 0.0000, 3.1760], [3.1760, 3.1760, 0.0000]],
  "species": ["Na", "Be", "Be", "Tl"],
  "fractional_positions": [[0.0000, 0.0000, 0.0000], [0.2500, 0.2500, 0.2500], [0.7500, 0.7500, 0.7500], [0.5000, 0.5000, 0.5000]]
}

{
  "formula": "SrAgIr2",
  "functional": "PBE-GGA",
  "state": "optimized geometry",
  "relative_energy_ev_per_atom": 0.135,
  "formation_energy_mev_per_atom": 325,
  "crystal_system": "monoclinic",
  "n_ef_per_ev_cell": 1.58,
  "lattice": [[4.9376, -1.4471, 0.0000], [4.9376, 1.4471, 0.0000], [-0.9269, 0.0000, 5.4358]],
  "species": ["Sr", "Ag", "Ir", "Ir"],
  "fractional_positions": [[0.0000, 0.0000, 0.0000], [0.5000, 0.5000, 0.5000], [0.2418, 0.2418, 0.6947], [0.7582, 0.7582, 0.3053]]
}

{
  "formula": "NdGa2Tc",
  "functional": "PBE-GGA",
  "state": "optimized geometry",
  "relative_energy_ev_per_atom": 0.020,
  "formation_energy_mev_per_atom": -266,
  "crystal_system": "tetragonal",
  "n_ef_per_ev_cell": 4.29,
  "lattice": [[3.2833, 0.0000, 0.0000], [0.0000, 3.2833, 0.0000], [0.0000, 0.0000, 7.0261]],
  "species": ["Nd", "Ga", "Ga", "Tc"],
  "fractional_positions": [[0.0000, 0.0000, 0.0000], [0.5000, 0.5000, 0.3112], [0.5000, 0.5000, 0.6888], [0.0000, 0.0000, 0.5000]]
}

{
  "formula": "BaCa2Zr",
  "functional": "PBE-GGA",
  "state": "optimized geometry",
  "relative_energy_ev_per_atom": 0.160,
  "formation_energy_mev_per_atom": 486,
  "crystal_system": "tetragonal",
  "n_ef_per_ev_cell": 6.15,
  "lattice": [[5.4053, 0.0000, 0.0000], [0.0000, 5.4053, 0.0000], [0.0000, 0.0000, 5.2977]],
  "species": ["Ba", "Ca", "Ca", "Zr"],
  "fractional_positions": [[0.0000, 0.0000, 0.0000], [0.0000, 0.5000, 0.5000], [0.5000, 0.0000, 0.5000], [0.5000, 0.5000, 0.0000]]
}

{
  "formula": "Pr2Cu2P3",
  "functional": "PBE-GGA",
  "state": "optimized geometry",
  "formation_energy_mev_per_atom": -916,
  "crystal_system": "monoclinic",
  "n_ef_per_ev_cell": 1.00,
  "lattice": [[7.5447, -2.0315, 0.0000], [7.5447, 2.0315, 0.0000], [-6.7880, 0.0000, 9.0222]],
  "species": ["Pr", "Pr", "Pr", "Pr", "Cu", "Cu", "Cu", "Cu", "P", "P", "P", "P", "P", "P"],
  "fractional_positions": [[0.1053, 0.1053, 0.4383], [0.2366, 0.2366, 0.8418], [0.7634, 0.7634, 0.1582], [0.8947, 0.8947, 0.5617], [0.0870, 0.0870, 0.1467], [0.4530, 0.4530, 0.1791], [0.5470, 0.5470, 0.8209], [0.9130, 0.9130, 0.8533], [0.1066, 0.1066, 0.9547], [0.3467, 0.3467, 0.7021], [0.4279, 0.4279, 0.3788], [0.5721, 0.5721, 0.6212], [0.6533, 0.6533, 0.2979], [0.8934, 0.8934, 0.0453]]
}

{
  "formula": "AcCu2I6",
  "functional": "PBE-GGA",
  "state": "optimized geometry",
  "formation_energy_uncorrected_mev_per_atom": -702,
  "crystal_system": "monoclinic",
  "n_ef_per_ev_cell": 18.94,
  "lattice": [[7.6735, -6.0221, 0.0000], [7.6735, 6.0221, 0.0000], [-2.9529, 0.0000, 7.3404]],
  "species": ["Ac", "Ac", "Cu", "Cu", "Cu", "Cu", "I", "I", "I", "I", "I", "I", "I", "I", "I", "I", "I", "I"],
  "fractional_positions": [[0.1727, 0.8273, 0.7500], [0.8273, 0.1727, 0.2500], [0.2444, 0.3751, 0.7742], [0.3751, 0.2444, 0.2742], [0.6249, 0.7556, 0.7258], [0.7556, 0.6249, 0.2258], [0.0689, 0.1805, 0.6609], [0.1519, 0.6123, 0.9866], [0.1805, 0.0689, 0.1609], [0.2545, 0.4676, 0.5032], [0.3877, 0.8481, 0.5134], [0.4676, 0.2545, 0.0032], [0.5324, 0.7455, 0.9968], [0.6123, 0.1519, 0.4866], [0.7455, 0.5324, 0.4968], [0.8195, 0.9311, 0.8391], [0.8481, 0.3877, 0.0134], [0.9311, 0.8195, 0.3391]]
}

{
  "formula": "V2CoSe5",
  "functional": "PBE-GGA",
  "state": "optimized geometry",
  "formation_energy_uncorrected_mev_per_atom": -403,
  "relative_energy_ev_per_atom": 0.000,
  "crystal_system": "orthorhombic",
  "n_ef_per_ev_cell": 8.38,
  "lattice": [[2.4498, -5.8765, 0.0000], [2.4498, 5.8765, 0.0000], [0.0000, 0.0000, 12.0471]],
  "species": ["V", "V", "V", "V", "Co", "Co", "Se", "Se", "Se", "Se", "Se", "Se", "Se", "Se", "Se", "Se"],
  "fractional_positions": [[0.1596, 0.8404, 0.5565], [0.1596, 0.8404, 0.9435], [0.8404, 0.1596, 0.0565], [0.8404, 0.1596, 0.4435], [0.1813, 0.8187, 0.2500], [0.8187, 0.1813, 0.7500], [0.0451, 0.9549, 0.1121], [0.0451, 0.9549, 0.3879], [0.2647, 0.7353, 0.7500], [0.3135, 0.6865, 0.0941], [0.3135, 0.6865, 0.4059], [0.6865, 0.3135, 0.5941], [0.6865, 0.3135, 0.9059], [0.7353, 0.2647, 0.2500], [0.9549, 0.0451, 0.6121], [0.9549, 0.0451, 0.8879]]
}

{
  "formula": "Sc3ZnN",
  "functional": "PBE-GGA",
  "state": "optimized geometry",
  "formation_energy_uncorrected_mev_per_atom": -867,
  "crystal_system": "hexagonal",
  "n_ef_per_ev_cell": 3.44,
  "lattice": [[6.1875, 0.0000, 0.0000], [-3.0938, 5.3586, 0.0000], [0.0000, 0.0000, 5.3232]],
  "species": ["Sc", "Sc", "Sc", "Sc", "Sc", "Sc", "Zn", "Zn", "N", "N"],
  "fractional_positions": [[0.1245, 0.3218, 0.2500], [0.1973, 0.8755, 0.2500], [0.3218, 0.1973, 0.7500], [0.6782, 0.8027, 0.2500], [0.8027, 0.1245, 0.7500], [0.8755, 0.6782, 0.7500], [0.3333, 0.6667, 0.7500], [0.6667, 0.3333, 0.2500], [0.0000, 0.0000, 0.0000], [0.0000, 0.0000, 0.5000]]
}

{
  "formula": "Mg2CuAu8",
  "functional": "PBE-GGA",
  "state": "optimized geometry",
  "formation_energy_mev_per_atom": -250,
  "crystal_system": "monoclinic",
  "n_ef_per_ev_cell": 4.75,
  "lattice": [[7.4824, -2.2854, 0.0000], [7.4824, 2.2854, 0.0000], [-2.7275, 0.0000, 5.7940]],
  "species": ["Mg", "Mg", "Cu", "Au", "Au", "Au", "Au", "Au", "Au", "Au", "Au"],
  "fractional_positions": [[0.1922, 0.1922, 0.1909], [0.8078, 0.8078, 0.8091], [0.5000, 0.5000, 0.5000], [0.0006, 0.0006, 0.2353], [0.1758, 0.1758, 0.6769], [0.3625, 0.3625, 0.6396], [0.3638, 0.3638, 0.0852], [0.6362, 0.6362, 0.9148], [0.6375, 0.6375, 0.3604], [0.8242, 0.8242, 0.3231], [0.9994, 0.9994, 0.7647]]
}

{
  "formula": "Sr2LaGe2",
  "functional": "PBE-GGA",
  "state": "optimized geometry",
  "relative_energy_ev_per_atom": 0.000,
  "formation_energy_mev_per_atom": -443,
  "crystal_system": "tetragonal",
  "n_ef_per_ev_cell": 9.61,
  "lattice": [[9.0099, 0.0000, 0.0000], [0.0000, 9.0099, 0.0000], [0.0000, 0.0000, 3.8630]],
  "species": ["Sr", "Sr", "Sr", "Sr", "La", "La", "Ge", "Ge", "Ge", "Ge"],
  "fractional_positions": [[0.1334, 0.3666, 0.0000], [0.3666, 0.8666, 0.0000], [0.6334, 0.1334, 0.0000], [0.8666, 0.6334, 0.0000], [0.0000, 0.0000, 0.5000], [0.5000, 0.5000, 0.5000], [0.1715, 0.6715, 0.5000], [0.3285, 0.1715, 0.5000], [0.6715, 0.8285, 0.5000], [0.8285, 0.3285, 0.5000]]
}

{
  "formula": "YCrTc2",
  "functional": "PBE-GGA",
  "state": "optimized geometry",
  "relative_energy_ev_per_atom": 0.219,
  "formation_energy_mev_per_atom": 395,
  "crystal_system": "tetragonal",
  "n_ef_per_ev_cell": 4.49,
  "lattice": [[4.5385, 0.0000, 0.0000], [0.0000, 4.5385, 0.0000], [0.0000, 0.0000, 3.2155]],
  "species": ["Y", "Cr", "Tc", "Tc"],
  "fractional_positions": [[0.0000, 0.0000, 0.0000], [0.5000, 0.5000, 0.0000], [0.0000, 0.5000, 0.5000], [0.5000, 0.0000, 0.5000]]
}

{
  "formula": "AcGaPt3Au",
  "functional": "PBE-GGA",
  "state": "optimized geometry",
  "formation_energy_mev_per_atom": -563,
  "crystal_system": "orthorhombic",
  "n_ef_per_ev_cell": 7.28,
  "lattice": [[3.6378, -6.1528, 0.0000], [3.6378, 6.1528, 0.0000], [0.0000, 0.0000, 5.9225]],
  "species": ["Ac", "Ac", "Ga", "Ga", "Pt", "Pt", "Pt", "Pt", "Pt", "Pt", "Au", "Au"],
  "fractional_positions": [[0.2120, 0.7880, 0.7500], [0.7880, 0.2120, 0.2500], [0.1182, 0.8818, 0.2500], [0.8818, 0.1182, 0.7500], [0.1955, 0.1955, 0.0000], [0.1955, 0.1955, 0.5000], [0.3131, 0.6869, 0.2500], [0.6869, 0.3131, 0.7500], [0.8045, 0.8045, 0.0000], [0.8045, 0.8045, 0.5000], [0.4617, 0.5383, 0.7500], [0.5383, 0.4617, 0.2500]]
}

{
  "formula": "PmPr2ErSc",
  "functional": "PBE-GGA",
  "state": "optimized geometry",
  "formation_energy_mev_per_atom": 359,
  "crystal_system": "orthorhombic",
  "n_ef_per_ev_cell": 13.25,
  "lattice": [[4.1443, -5.7272, 0.0000], [4.1443, 5.7272, 0.0000], [0.0000, 0.0000, 7.2495]],
  "species": ["Pm", "Pm", "Pr", "Pr", "Pr", "Pr", "Er", "Er", "Sc", "Sc"],
  "fractional_positions": [[0.2284, 0.7716, 0.7500], [0.7716, 0.2284, 0.2500], [0.2000, 0.2000, 0.0000], [0.2000, 0.2000, 0.5000], [0.8000, 0.8000, 0.0000], [0.8000, 0.8000, 0.5000], [0.2420, 0.7580, 0.2500], [0.7580, 0.2420, 0.7500], [0.4891, 0.5109, 0.7500], [0.5109, 0.4891, 0.2500]]
}

{
  "formula": "Tl2CrCo",
  "functional": "PBE-GGA",
  "state": "optimized geometry",
  "relative_energy_ev_per_atom": 0.156,
  "formation_energy_mev_per_atom": 668,
  "crystal_system": "monoclinic",
  "n_ef_per_ev_cell": 1.50,
  "lattice": [[4.4950, -1.7321, 0.0000], [4.4950, 1.7321, 0.0000], [-1.5395, 0.0000, 4.9549]],
  "species": ["Tl", "Tl", "Cr", "Co"],
  "fractional_positions": [[0.2402, 0.2402, 0.2365], [0.7598, 0.7598, 0.7635], [0.0000, 0.0000, 0.5000], [0.5000, 0.5000, 0.0000]]
}

{
  "formula": "ZnPt4Au",
  "functional": "PBE-GGA",
  "state": "optimized geometry",
  "relative_energy_ev_per_atom": 0.000,
  "formation_energy_mev_per_atom": -183,
  "crystal_system": "tetragonal",
  "n_ef_per_ev_cell": 5.60,
  "lattice": [[2.8043, 0.0000, 0.0000], [0.0000, 2.8043, 0.0000], [0.0000, 0.0000, 11.9610]],
  "species": ["Zn", "Pt", "Pt", "Pt", "Pt", "Au"],
  "fractional_positions": [[0.0000, 0.0000, 0.0000], [0.0000, 0.0000, 0.3221], [0.0000, 0.0000, 0.6779], [0.5000, 0.5000, 0.1519], [0.5000, 0.5000, 0.8481], [0.5000, 0.5000, 0.5000]]
}

{
  "formula": "CaPuCdIn",
  "functional": "PBE-GGA",
  "state": "optimized geometry",
  "formation_energy_mev_per_atom": -197,
  "crystal_system": "cubic",
  "n_ef_per_ev_cell": 11.06,
  "lattice": [[0.0000, 3.8240, 3.8240], [3.8240, 0.0000, 3.8240], [3.8240, 3.8240, 0.0000]],
  "species": ["Ca", "Pu", "Cd", "In"],
  "fractional_positions": [[0.0000, 0.0000, 0.0000], [0.5000, 0.5000, 0.5000], [0.2500, 0.2500, 0.2500], [0.7500, 0.7500, 0.7500]]
}

{
  "formula": "YLu3Tc",
  "functional": "PBE-GGA",
  "state": "optimized geometry",
  "formation_energy_mev_per_atom": 105,
  "crystal_system": "cubic",
  "n_ef_per_ev_cell": 7.24,
  "lattice": [[5.2889, 0.0000, 0.0000], [0.0000, 5.2889, 0.0000], [0.0000, 0.0000, 5.2889]],
  "species": ["Y", "Lu", "Lu", "Lu", "Tc"],
  "fractional_positions": [[0.0000, 0.0000, 0.0000], [0.0000, 0.5000, 0.5000], [0.5000, 0.0000, 0.5000], [0.5000, 0.5000, 0.0000], [0.5000, 0.5000, 0.5000]]
}

{
  "formula": "Mg4Hg5Bi",
  "functional": "PBE-GGA",
  "state": "optimized geometry",
  "formation_energy_mev_per_atom": -152,
  "crystal_system": "tetragonal",
  "n_ef_per_ev_cell": 3.91,
  "lattice": [[3.5806, 0.0000, 0.0000], [0.0000, 3.5806, 0.0000], [0.0000, 0.0000, 17.8099]],
  "species": ["Mg", "Mg", "Mg", "Mg", "Hg", "Hg", "Hg", "Hg", "Hg", "Bi"],
  "fractional_positions": [[0.0000, 0.0000, 0.0938], [0.0000, 0.0000, 0.2808], [0.0000, 0.0000, 0.7192], [0.0000, 0.0000, 0.9062], [0.5000, 0.5000, 0.0000], [0.5000, 0.5000, 0.1868], [0.5000, 0.5000, 0.3753], [0.5000, 0.5000, 0.6247], [0.5000, 0.5000, 0.8132], [0.0000, 0.0000, 0.5000]]
}

{
  "formula": "P2OsClF",
  "functional": "PBE-GGA",
  "state": "optimized geometry",
  "formation_energy_uncorrected_mev_per_atom": 253,
  "relative_energy_ev_per_atom": 0.000,
  "crystal_system": "tetragonal",
  "n_ef_per_ev_cell": 4.39,
  "lattice": [[4.5034, 0.0000, 0.0000], [0.0000, 4.5034, 0.0000], [0.0000, 0.0000, 4.9283]],
  "species": ["P", "P", "Os", "Cl", "F"],
  "fractional_positions": [[0.0000, 0.5000, 0.0000], [0.5000, 0.0000, 0.0000], [0.0000, 0.0000, 0.0000], [0.0000, 0.0000, 0.5000], [0.5000, 0.5000, 0.5000]]
}